A plane-wave DFT calculation with PBE was carried out for a relaxed structure of SrLiTi3.

- final energy (eV/atom) = -3.582
- DFT formation energy (eV per atom) = 1.874
- total magnetic moment (μB per cell) = 2.9
- ρ (Mg/m³) = 3.2
- excess energy over the best structure of this formula in the dataset (eV/atom) = 0.895

Cell: 4.9904 4.9904 4.9904 Å, 90.00 90.00 90.00°
Sites, in units of the cell vectors:
Sr: 0.0000 0.0000 0.0000
Li: 0.5000 0.5000 0.5000
Ti: 0.0000 0.0000 0.5000
Ti: 0.0000 0.5000 0.0000
Ti: 0.5000 0.0000 0.0000

---

A plane-wave DFT calculation with PBE was carried out for a relaxed structure of ZnW2Se.

- final energy (eV/atom) = -7.053
- formation energy (no corrections) (eV/atom) = 0.6133
- total magnetic moment (μB per cell) = 0.0
- ρ (Mg/m³) = 13.1
- excess energy over the best structure of this formula in the dataset (eV/atom) = 0.318

Cell: 3.1338 4.5063 4.5957 Å, 90.00 90.00 90.00°
Sites, in units of the cell vectors:
Zn: 0.0000 0.0000 0.0000
W: 0.0000 0.5000 0.5000
W: 0.5000 0.5000 0.0000
Se: 0.5000 0.0000 0.5000

---

A plane-wave DFT calculation with PBE was carried out for a relaxed structure of EuZrCd4.

- final energy (eV/atom) = -3.820
- DFT formation energy (eV per atom) = -0.073
- total magnetic moment (μB per cell) = 8.1
- ρ (Mg/m³) = 8.0

Cell: 5.8730 5.8730 5.8730 Å, 60.00 60.00 60.00°
Sites, in units of the cell vectors:
Eu: 0.0000 0.0000 0.0000
Zr: 0.7500 0.7500 0.7500
Cd: 0.3758 0.3758 0.3758
Cd: 0.3758 0.3758 0.8727
Cd: 0.3758 0.8727 0.3758
Cd: 0.8727 0.3758 0.3758

---

A plane-wave DFT calculation with PBE was carried out for a relaxed structure of Er5Sb4N.

- final energy (eV/atom) = -5.810
- formation energy (no corrections) (eV/atom) = -1.0476
- total magnetic moment (μB per cell) = 0.0
- ρ (Mg/m³) = 8.4

Cell: 7.2375 7.2375 7.2375 Å, 100.31 100.31 129.94°
Sites, in units of the cell vectors:
Er: 0.0000 0.0000 0.0000
Er: 0.3239 0.6752 0.8391
Er: 0.4848 0.3239 0.6486
Er: 0.6752 0.8362 0.3514
Er: 0.8362 0.4848 0.1609
Sb: 0.1682 0.3908 0.3930
Sb: 0.3908 0.9978 0.2226
Sb: 0.7753 0.1682 0.7774
Sb: 0.9978 0.7753 0.6070
N: 0.6359 0.6359 0.0000

---

A plane-wave DFT calculation with PBE was carried out for a relaxed structure of Dy3ScPt2.

- final energy (eV/atom) = -6.298
- DFT formation energy (eV per atom) = -0.928
- total magnetic moment (μB per cell) = 0.0
- ρ (Mg/m³) = 10.6

Cell: 4.7170 8.7677 6.9890 Å, 90.00 90.00 90.00°
Sites, in units of the cell vectors:
Dy: 0.0000 0.0810 0.0000
Dy: 0.0000 0.3407 0.3576
Dy: 0.0000 0.6593 0.8576
Dy: 0.0000 0.9190 0.5000
Dy: 0.5000 0.1744 0.6515
Dy: 0.5000 0.8256 0.1515
Sc: 0.5000 0.4126 0.0128
Sc: 0.5000 0.5874 0.5128
Pt: 0.0000 0.3426 0.7735
Pt: 0.0000 0.6574 0.2735
Pt: 0.5000 0.1605 0.2420
Pt: 0.5000 0.8395 0.7420

---

A plane-wave DFT calculation with PBE was carried out for a relaxed structure of Pm3Sn2Ru.

- final energy (eV/atom) = -5.874
- DFT formation energy (eV per atom) = -0.618
- total magnetic moment (μB per cell) = 0.0
- ρ (Mg/m³) = 7.7
- excess energy over the best structure of this formula in the dataset (eV/atom) = 0.000

Cell: 12.7299 4.4133 11.9303 Å, 90.00 90.00 90.00°
Sites, in units of the cell vectors:
Pm: 0.0535 0.2500 0.1289
Pm: 0.1195 0.7500 0.5465
Pm: 0.2399 0.2500 0.7883
Pm: 0.2601 0.7500 0.2883
Pm: 0.3805 0.2500 0.0465
Pm: 0.4465 0.7500 0.6289
Pm: 0.5535 0.2500 0.3711
Pm: 0.6195 0.7500 0.9535
Pm: 0.7399 0.2500 0.7117
Pm: 0.7601 0.7500 0.2117
Pm: 0.8805 0.2500 0.4535
Pm: 0.9465 0.7500 0.8711
Sn: 0.0018 0.7500 0.3082
Sn: 0.1899 0.7500 0.9944
Sn: 0.3101 0.2500 0.4944
Sn: 0.4982 0.2500 0.8082
Sn: 0.5018 0.7500 0.1918
Sn: 0.6899 0.7500 0.5056
Sn: 0.8101 0.2500 0.0056
Sn: 0.9982 0.2500 0.6918
Ru: 0.1283 0.2500 0.3677
Ru: 0.3717 0.7500 0.8677
Ru: 0.6283 0.2500 0.1323
Ru: 0.8717 0.7500 0.6323

---

A plane-wave DFT calculation with PBE was carried out for a relaxed structure of MgSi4Ir6.

- final energy (eV/atom) = -7.596
- formation energy (no corrections) (eV/atom) = -0.6454
- total magnetic moment (μB per cell) = 0.0
- ρ (Mg/m³) = 13.3

Cell: 7.0668 7.0668 3.7348 Å, 90.00 90.00 120.00°
Sites, in units of the cell vectors:
Mg: 0.0000 0.0000 0.0000
Si: 0.3333 0.6667 0.0000
Si: 0.3890 0.1945 0.5000
Si: 0.8055 0.1945 0.5000
Si: 0.8055 0.6110 0.5000
Ir: 0.1939 0.3877 0.5000
Ir: 0.1939 0.8061 0.5000
Ir: 0.5340 0.0681 0.0000
Ir: 0.5340 0.4660 0.0000
Ir: 0.6123 0.8061 0.5000
Ir: 0.9319 0.4660 0.0000

---

A plane-wave DFT calculation with PBE was carried out for a relaxed structure of NaMgIr2O8.

- final energy (eV/atom) = -5.873
- formation energy (no corrections) (eV/atom) = -0.8477
- total magnetic moment (μB per cell) = 0.8
- ρ (Mg/m³) = 5.6

Cell: 5.5413 5.5413 6.2476 Å, 90.00 90.00 120.00°
Sites, in units of the cell vectors:
Na: 0.0000 0.0000 0.0000
Mg: 0.0000 0.0000 0.5000
Ir: 0.3333 0.6667 0.4539
Ir: 0.6667 0.3333 0.5461
O: 0.0639 0.3720 0.6361
O: 0.3082 0.9361 0.6361
O: 0.3333 0.6667 0.1663
O: 0.3720 0.3082 0.3639
O: 0.6280 0.6918 0.6361
O: 0.6667 0.3333 0.8337
O: 0.6918 0.0639 0.3639
O: 0.9361 0.6280 0.3639

---

A plane-wave DFT calculation with PBE was carried out for a relaxed structure of TmBe4Re.

- final energy (eV/atom) = -5.341
- DFT formation energy (eV per atom) = -0.037
- total magnetic moment (μB per cell) = 1.2
- ρ (Mg/m³) = 9.0

Cell: 4.6684 4.6684 4.6684 Å, 60.00 60.00 60.00°
Sites, in units of the cell vectors:
Tm: 0.0000 0.0000 0.0000
Be: 0.1341 0.6220 0.6220
Be: 0.6220 0.1341 0.6220
Be: 0.6220 0.6220 0.1341
Be: 0.6220 0.6220 0.6220
Re: 0.2500 0.2500 0.2500

---

A plane-wave DFT calculation with PBE was carried out for a relaxed structure of Lu2RuCl.

- final energy (eV/atom) = -5.956
- formation energy (no corrections) (eV/atom) = -0.9144
- total magnetic moment (μB per cell) = 0.0
- ρ (Mg/m³) = 9.4
- excess energy over the best structure of this formula in the dataset (eV/atom) = 0.000

Cell: 3.3012 3.3012 7.8770 Å, 90.00 90.00 90.00°
Sites, in units of the cell vectors:
Lu: 0.0000 0.0000 0.2075
Lu: 0.0000 0.0000 0.7925
Ru: 0.5000 0.5000 0.0000
Cl: 0.5000 0.5000 0.5000

---

A plane-wave DFT calculation with PBE was carried out for a relaxed structure of TmTlIn.

- final energy (eV/atom) = -3.347
- DFT formation energy (eV per atom) = -0.155
- total magnetic moment (μB per cell) = 0.2
- ρ (Mg/m³) = 10.2
- excess energy over the best structure of this formula in the dataset (eV/atom) = 0.068

Cell: 6.7923 6.7923 6.7923 Å, 149.64 149.64 43.47°
Sites, in units of the cell vectors:
Tm: 0.0000 0.0000 0.0000
Tl: 0.3278 0.3278 0.0000
In: 0.6613 0.6613 0.0000

---

A plane-wave DFT calculation with PBE was carried out for a relaxed structure of TaAgAs.

- final energy (eV/atom) = -6.286
- DFT formation energy (eV per atom) = 0.165
- total magnetic moment (μB per cell) = 0.0
- ρ (Mg/m³) = 10.8

Cell: 7.3265 7.1432 2.9173 Å, 81.92 74.86 23.22°
Sites, in units of the cell vectors:
Ta: 0.0000 0.0000 0.0000
Ag: 0.6655 0.6655 0.3345
As: 0.3534 0.3534 0.6466

---

Copy entry 4 word for word.
A plane-wave DFT calculation with PBE was carried out for a relaxed structure of Er5Sb4N.

- final energy (eV/atom) = -5.810
- formation energy (no corrections) (eV/atom) = -1.0476
- total magnetic moment (μB per cell) = 0.0
- ρ (Mg/m³) = 8.4

Cell: 7.2375 7.2375 7.2375 Å, 100.31 100.31 129.94°
Sites, in units of the cell vectors:
Er: 0.0000 0.0000 0.0000
Er: 0.3239 0.6752 0.8391
Er: 0.4848 0.3239 0.6486
Er: 0.6752 0.8362 0.3514
Er: 0.8362 0.4848 0.1609
Sb: 0.1682 0.3908 0.3930
Sb: 0.3908 0.9978 0.2226
Sb: 0.7753 0.1682 0.7774
Sb: 0.9978 0.7753 0.6070
N: 0.6359 0.6359 0.0000